Below is AcAgTe2S6 after structural relaxation, with properties calculated at the PBE-GGA level.

Structure (CIF):
```
data_AcAgTe2S6
_space_group_name_H-M_alt 'R 3'
_space_group_IT_number 146
_space_group_name_Hall 'R 3'
_cell_length_a 6.8339
_cell_length_b 6.8339
_cell_length_c 20.4908
_cell_angle_alpha 90.00
_cell_angle_beta 90.00
_cell_angle_gamma 120.00
loop_
_atom_site_label
_atom_site_type_symbol
_atom_site_fract_x
_atom_site_fract_y
_atom_site_fract_z
_atom_site_occupancy
Ac1 Ac 0.0000 0.0000 0.0000 1
Ag1 Ag 0.0000 0.0000 0.4987 1
Te1 Te 0.0000 0.0000 0.2174 1
Te2 Te 0.0000 0.0000 0.7224 1
S1 S 0.0263 0.3352 0.7718 1
S2 S 0.0660 0.7167 0.2668 1
```

Calculated values
energy	-4.243	eV per atom
crystal system	trigonal
formation energy (no corrections)	-0.44	eV/atom